Record 1
K2TlAg | GGA-PBE | relaxed

The structure in POSCAR format:
```
K2TlAg
1.0
2.093 1.209 10.554
-2.093 1.209 10.554
0.000 -2.417 10.554
K Tl Ag
2 1 1
Direct
0.241 0.241 0.241
0.759 0.759 0.759
0.000 0.000 0.000
0.500 0.500 0.500
```

Values from the calculation:
The calculation puts the volume at 160 Å³ per cell. The value obtained for the size of the total moment is 0.0 μB/cell. The space group is No. 166. The density of states at the Fermi level is 0.67 states/eV per atom. The calculation puts the energy of formation from the pure elements at 142.0 meV per atom. The uncorrected energy is -1.7112 eV per atom.

***

Record 2
Dy2YTmSe6 | GGA-PBE | relaxed

The structure in POSCAR format:
```
Dy2YTmSe6
1.0
3.590 2.073 6.468
-3.590 2.073 6.468
0.000 -4.145 6.468
Dy Y Tm Se
2 1 1 6
Direct
0.000 0.000 0.000
0.499 0.499 0.499
0.196 0.196 0.196
0.694 0.694 0.694
0.092 0.408 0.793
0.295 0.902 0.598
0.408 0.793 0.092
0.598 0.295 0.902
0.793 0.092 0.408
0.902 0.598 0.295
```

Values from the calculation:
The calculation puts the volume at 289 Å³ per cell. The value obtained for the formation energy (no corrections) is -1.85 eV/atom. The value obtained for the size of the total moment is 0.0 μB/cell. The space group is No. 146. The density of states at the Fermi level is 0.00 states/eV per atom. The uncorrected energy is -5.9569 eV per atom.

***

Record 3
HfTa2ZnH | GGA-PBE | relaxed

The structure in POSCAR format:
```
HfTa2ZnH
1.0
4.068 0.000 0.000
0.000 4.068 0.000
0.000 0.000 4.515
Hf Ta Zn H
1 2 1 1
Direct
0.000 0.000 0.000
0.000 0.500 0.500
0.500 0.000 0.500
0.500 0.500 0.000
0.000 0.000 0.500
```

Values from the calculation:
The calculation puts the volume at 75 Å³ per cell. The value obtained for the size of the total moment is 0.0 μB/cell. The space group is No. 123. The density of states at the Fermi level is 0.75 states/eV per atom. The uncorrected energy is -7.7002 eV per atom.

***

Record 4
CuAg3 | GGA-PBE | relaxed

The structure in POSCAR format:
```
CuAg3
1.0
2.868 0.000 0.000
0.000 4.676 0.000
0.000 0.000 4.970
Cu Ag
1 3
Direct
0.000 0.000 0.000
0.000 0.500 0.672
0.500 0.000 0.498
0.500 0.500 0.160
```

Values from the calculation:
The calculation puts the volume at 67 Å³ per cell. The value obtained for the size of the total moment is 0.0 μB/cell. The space group is No. 25. The density of states at the Fermi level is 0.19 states/eV per atom. The calculation puts the energy of formation from the pure elements at 95.8 meV per atom. The uncorrected energy is -3.0667 eV per atom.

***

Record 5
Cs2RbZnGeSe | GGA-PBE | relaxed

The structure in POSCAR format:
```
Cs2RbZnGeSe
1.0
5.409 -3.125 0.000
5.409 3.125 0.000
-3.590 0.000 7.980
Cs Rb Zn Ge Se
2 1 1 1 1
Direct
0.000 0.000 0.000
0.236 0.236 0.706
0.480 0.480 0.437
0.730 0.730 0.191
0.830 0.830 0.486
0.631 0.631 0.895
```

Values from the calculation:
The calculation puts the volume at 270 Å³ per cell. The value obtained for the formation energy (no corrections) is -0.42 eV/atom. The value obtained for the size of the total moment is 1.0 μB/cell. The space group is No. 8. The density of states at the Fermi level is 0.24 states/eV per atom. The uncorrected energy is -2.4236 eV per atom.

***

Record 6
Ba4Li2In | GGA-PBE | relaxed

The structure in POSCAR format:
```
Ba4Li2In
1.0
3.046 1.759 9.863
-3.046 1.759 9.863
0.000 -3.517 9.863
Ba Li In
4 2 1
Direct
0.124 0.124 0.124
0.376 0.376 0.376
0.624 0.624 0.624
0.876 0.876 0.876
0.256 0.256 0.256
0.744 0.744 0.744
0.000 0.000 0.000
```

Values from the calculation:
The calculation puts the volume at 317 Å³ per cell. The value obtained for the size of the total moment is 0.0 μB/cell. The space group is No. 166. The density of states at the Fermi level is 0.98 states/eV per atom. The calculation puts the energy of formation from the pure elements at -67.1 meV per atom. The uncorrected energy is -2.1038 eV per atom.